# 1
# PBE-GGA Re2Ir2Ru, relaxed
data_Re2Ir2Ru
_cell_length_a 2.7596
_cell_length_b 2.7434
_cell_length_c 9.9506
_cell_angle_alpha 82.08
_cell_angle_beta 90.00
_cell_angle_gamma 90.00
_space_group_name_H-M_alt 'P 1'
_space_group_IT_number 1
loop_
_space_group_symop_operation_xyz
'x,y,z'
loop_
_atom_site_label
_atom_site_type_symbol
_atom_site_fract_x
_atom_site_fract_y
_atom_site_fract_z
Ru1 Ru 0.0000 0.0000 0.0000
Ir1 Ir 0.0000 0.8093 0.3814
Ir2 Ir 0.0000 0.1907 0.6186
Re1 Re 0.5000 0.5985 0.8030
Re2 Re 0.5000 0.4015 0.1970
# SG   No. 65
# Polymorph energy (0 for the lowest one)   0 meV/atom
# DOS at the Fermi energy   3.59 states/eV/f.u.
# Total moment   0.0 μB/f.u.
# Energy relative to the elements   -28 meV per atom

***

# 2
# PBE-GGA MgInAgPd, relaxed
data_MgInAgPd
_cell_length_a 4.6746
_cell_length_b 4.6746
_cell_length_c 4.6746
_cell_angle_alpha 60.00
_cell_angle_beta 60.00
_cell_angle_gamma 60.00
_space_group_name_H-M_alt 'P 1'
_space_group_IT_number 1
loop_
_space_group_symop_operation_xyz
'x,y,z'
loop_
_atom_site_label
_atom_site_type_symbol
_atom_site_fract_x
_atom_site_fract_y
_atom_site_fract_z
In1 In 0.0000 0.0000 0.0000
Mg1 Mg 0.5000 0.5000 0.5000
Pd1 Pd 0.7500 0.7500 0.7500
Ag1 Ag 0.2500 0.2500 0.2500
# SG   No. 216
# DOS at the Fermi energy   1.94 states/eV/f.u.
# Total moment   0.0 μB/f.u.
# Energy relative to the elements   -408 meV per atom

***

# 3
# PBE-GGA ErZnRhPb, relaxed
data_ErZnRhPb
_cell_length_a 4.8463
_cell_length_b 4.8463
_cell_length_c 4.8463
_cell_angle_alpha 60.00
_cell_angle_beta 60.00
_cell_angle_gamma 60.00
_space_group_name_H-M_alt 'P 1'
_space_group_IT_number 1
loop_
_space_group_symop_operation_xyz
'x,y,z'
loop_
_atom_site_label
_atom_site_type_symbol
_atom_site_fract_x
_atom_site_fract_y
_atom_site_fract_z
Pb1 Pb 0.7500 0.7500 0.7500
Zn1 Zn 0.5000 0.5000 0.5000
Rh1 Rh 0.0000 0.0000 0.0000
Er1 Er 0.2500 0.2500 0.2500
# SG   No. 216
# DOS at the Fermi energy   2.98 states/eV/f.u.
# Total moment   0.0 μB/f.u.
# Energy relative to the elements   -342 meV per atom

***

# 4
# PBE-GGA BaCaSn, relaxed
data_BaCaSn
_cell_length_a 5.6280
_cell_length_b 5.6281
_cell_length_c 9.8881
_cell_angle_alpha 90.00
_cell_angle_beta 90.00
_cell_angle_gamma 60.00
_space_group_name_H-M_alt 'P 1'
_space_group_IT_number 1
loop_
_space_group_symop_operation_xyz
'x,y,z'
loop_
_atom_site_label
_atom_site_type_symbol
_atom_site_fract_x
_atom_site_fract_y
_atom_site_fract_z
Ca1 Ca 0.4882 0.8941 0.2891
Ca2 Ca 0.8216 0.2273 0.7891
Sn1 Sn 0.8215 0.2275 0.1374
Sn2 Sn 0.8215 0.2275 0.4408
Ba1 Ba 0.1550 0.5607 0.5521
Ba2 Ba 0.1549 0.5607 0.0261
# SG   No. 187
# DOS at the Fermi energy   2.75 states/eV/f.u.
# Total moment   0.0 μB/f.u.
# Energy relative to the elements   -289 meV per atom

***

Repeat the first record exactly.
# PBE-GGA Re2Ir2Ru, relaxed
data_Re2Ir2Ru
_cell_length_a 2.7596
_cell_length_b 2.7434
_cell_length_c 9.9506
_cell_angle_alpha 82.08
_cell_angle_beta 90.00
_cell_angle_gamma 90.00
_space_group_name_H-M_alt 'P 1'
_space_group_IT_number 1
loop_
_space_group_symop_operation_xyz
'x,y,z'
loop_
_atom_site_label
_atom_site_type_symbol
_atom_site_fract_x
_atom_site_fract_y
_atom_site_fract_z
Ru1 Ru 0.0000 0.0000 0.0000
Ir1 Ir 0.0000 0.8093 0.3814
Ir2 Ir 0.0000 0.1907 0.6186
Re1 Re 0.5000 0.5985 0.8030
Re2 Re 0.5000 0.4015 0.1970
# SG   No. 65
# Polymorph energy (0 for the lowest one)   0 meV/atom
# DOS at the Fermi energy   3.59 states/eV/f.u.
# Total moment   0.0 μB/f.u.
# Energy relative to the elements   -28 meV per atom